{
  "formula": "Tl2Cu2Hg",
  "functional": "PBE",
  "state": "optimized geometry",
  "de_polymorph_mev_per_atom": 108,
  "magmom_total_mub_per_cell": 0.00,
  "crystal_system": "tetragonal",
  "delta_e_f_kj_per_mol_atoms": 29.5,
  "cell": [[8.404, 0.000, 0.000], [0.000, 8.404, 0.000], [0.000, 0.000, 3.112]],
  "species": ["Tl", "Tl", "Tl", "Tl", "Cu", "Cu", "Cu", "Cu", "Hg", "Hg"],
  "fractional_positions": [[0.184, 0.316, 0.000], [0.316, 0.816, 0.000], [0.684, 0.184, 0.000], [0.816, 0.684, 0.000], [0.105, 0.605, 0.500], [0.395, 0.105, 0.500], [0.605, 0.895, 0.500], [0.895, 0.395, 0.500], [0.000, 0.000, 0.000], [0.500, 0.500, 0.000]]
}